[1]
## TbAlTl (GGA-PBE)

Data for a geometry-optimized TbAlTl structure.

Structure (extended XYZ):
```
6
Lattice="2.135 1.233 10.339 -2.135 1.233 10.339 0.000 -2.465 10.339" Properties=species:S:1:pos:R:3 pbc="T T T"
Tb 0.000 0.000 2.028
Tb 0.000 0.000 28.987
Al 0.000 0.000 10.440
Al 0.000 0.000 20.576
Tl 0.000 0.000 6.138
Tl 0.000 0.000 24.878
```

Calculated values
V = 163.3 Å³/cell
energy above the lowest structure with this stoichiometry = 45 meV per atom
energy of formation from the pure elements = -238 meV/atom
spin magnetization = 0.00 μB per formula unit



[2]
## TbAl4Tl (GGA-PBE)

Data for a geometry-optimized TbAl4Tl structure.

Structure (extended XYZ):
```
6
Lattice="0.000 3.975 3.975 3.975 0.000 3.975 3.975 3.975 0.000" Properties=species:S:1:pos:R:3 pbc="T T T"
Tb 0.000 0.000 0.000
Al 4.974 2.977 2.977
Al 2.977 4.974 2.977
Al 2.977 2.977 4.974
Al 4.974 4.974 4.974
Tl 1.988 1.988 1.988
```

Calculated values
V = 125.6 Å³/cell
energy of formation from the pure elements = -133 meV/atom
spin magnetization = 0.00 μB per formula unit



[3]
## Tb5AlTl4 (GGA-PBE)

Data for a geometry-optimized Tb5AlTl4 structure.

Structure (extended XYZ):
```
10
Lattice="3.703 0.000 0.000 0.000 3.703 0.000 0.000 0.000 19.587" Properties=species:S:1:pos:R:3 pbc="T T T"
Tb 0.000 0.000 0.000
Tb 0.000 0.000 4.035
Tb 0.000 0.000 8.025
Tb 0.000 0.000 11.563
Tb 0.000 0.000 15.552
Al 1.851 1.851 9.794
Tl 1.851 1.851 2.021
Tl 1.851 1.851 6.015
Tl 1.851 1.851 13.572
Tl 1.851 1.851 17.567
```

Calculated values
V = 268.5 Å³/cell
energy of formation from the pure elements = -360 meV/atom
spin magnetization = 0.00 μB per formula unit



[4]
## Tb4Al2Tl (GGA-PBE)

Data for a geometry-optimized Tb4Al2Tl structure.

Structure (extended XYZ):
```
7
Lattice="2.532 1.462 9.309 -2.532 1.462 9.309 0.000 -2.924 9.309" Properties=species:S:1:pos:R:3 pbc="T T T"
Tb 0.000 0.000 3.292
Tb 0.000 0.000 8.303
Tb 0.000 0.000 19.624
Tb 0.000 0.000 24.634
Al 0.000 0.000 11.276
Al 0.000 0.000 16.651
Tl 0.000 0.000 13.963
```

Calculated values
V = 206.8 Å³/cell
energy above the lowest structure with this stoichiometry = 145 meV per atom
energy of formation from the pure elements = -75 meV/atom
spin magnetization = 0.00 μB per formula unit



[5]
## Tb4AlTl (GGA-PBE)

Data for a geometry-optimized Tb4AlTl structure.

Structure (extended XYZ):
```
6
Lattice="7.011 -1.764 0.000 7.011 1.764 0.000 -1.797 0.000 6.873" Properties=species:S:1:pos:R:3 pbc="T T T"
Tb 1.521 0.000 2.290
Tb 0.681 0.000 5.632
Tb 11.545 0.000 1.241
Tb 10.704 0.000 4.583
Al 6.113 0.000 3.437
Tl 7.011 0.000 0.000
```

Calculated values
V = 170.0 Å³/cell
energy above the lowest structure with this stoichiometry = 0 meV per atom
energy of formation from the pure elements = -221 meV/atom
spin magnetization = 0.00 μB per formula unit



[6]
## TbAlTl2 (GGA-PBE)

Data for a geometry-optimized TbAlTl2 structure.

Structure (extended XYZ):
```
4
Lattice="2.362 1.364 5.335 -2.362 1.364 5.335 0.000 -2.728 5.335" Properties=species:S:1:pos:R:3 pbc="T T T"
Tb 0.000 0.000 0.000
Al 0.000 0.000 8.003
Tl 0.000 0.000 3.779
Tl 0.000 0.000 12.227
```

Calculated values
V = 103.1 Å³/cell
energy above the lowest structure with this stoichiometry = 151 meV per atom
energy of formation from the pure elements = -62 meV/atom
spin magnetization = 0.00 μB per formula unit



[7]
## Tb6AlTl5 (GGA-PBE)

Data for a geometry-optimized Tb6AlTl5 structure.

Structure (extended XYZ):
```
12
Lattice="2.683 -8.053 0.000 2.683 8.053 0.000 0.000 0.000 7.486" Properties=species:S:1:pos:R:3 pbc="T T T"
Tb 0.000 0.000 1.825
Tb 0.000 0.000 5.662
Tb 2.683 2.628 1.848
Tb 2.683 2.628 5.638
Tb 2.683 -2.628 1.848
Tb 2.683 -2.628 5.638
Al 2.683 0.000 0.000
Tl 2.683 5.340 0.000
Tl 2.683 5.344 3.743
Tl 2.683 0.000 3.743
Tl 2.683 -5.340 0.000
Tl 2.683 -5.344 3.743
```

Calculated values
V = 323.5 Å³/cell
energy of formation from the pure elements = -349 meV/atom
spin magnetization = 0.00 μB per formula unit



[8]
## Tb6Al2Tl (GGA-PBE)

Data for a geometry-optimized Tb6Al2Tl structure.

Structure (extended XYZ):
```
9
Lattice="-2.551 3.621 7.666 2.551 -3.621 7.666 2.551 3.621 -7.666" Properties=species:S:1:pos:R:3 pbc="T T T"
Tb 2.551 1.780 -2.605
Tb 0.000 1.750 0.000
Tb 2.551 1.780 2.605
Tb 0.000 1.841 5.061
Tb 0.000 5.493 0.000
Tb 0.000 1.841 10.270
Al 0.000 0.000 2.563
Al 0.000 0.000 12.769
Tl 0.000 0.000 7.666
```

Calculated values
V = 283.3 Å³/cell
energy above the lowest structure with this stoichiometry = 234 meV per atom
energy of formation from the pure elements = -33 meV/atom
spin magnetization = 0.00 μB per formula unit